Record 1
BeSn3Ru: relaxed, PBE.

## Properties
As for the calculated total energy: -4.39 eV/atom. The energy relative to the elements comes out at 58.7 kJ per mole of atoms. Its space group is Pm-3m.

POSCAR file:
```
BeSn3Ru
1.0
5.129 0.000 0.000
0.000 5.129 0.000
0.000 0.000 5.129
Sn Be Ru
3 1 1
Direct
0.000 0.500 0.000
0.000 0.000 0.500
0.500 0.000 0.000
0.500 0.500 0.500
0.000 0.000 0.000
```

Record 2
Na3MoRu: relaxed, PBE.

## Properties
As for the calculated total energy: -2.97 eV/atom. The energy relative to the elements comes out at 178.3 kJ per mole of atoms. Its space group is Pm-3m.

POSCAR file:
```
Na3MoRu
1.0
5.421 0.000 0.000
0.000 5.421 0.000
0.000 0.000 5.421
Ru Mo Na
1 1 3
Direct
0.000 0.000 0.000
0.500 0.500 0.500
0.500 0.000 0.000
0.000 0.000 0.500
0.000 0.500 0.000
```